(1)
Density functional theory data (GGA-PBE) for an optimized crystal structure of HgPdSe.

```
HgPdSe
1.0
-1.296 2.067 2.969
-5.145 -3.628 0.281
2.748 -5.065 2.239
Hg Pd Se
2 2 2
direct
0.343 0.686 0.685
0.657 0.314 0.315
0.000 0.500 0.000
0.500 0.000 0.000
0.109 0.809 0.218
0.891 0.191 0.782
```

Uncorrected formation energy (eV per atom): -0.229
Density of states at the Fermi level (states/eV per atom): 0.42
Energy relative to the lowest polymorph listed for this composition (eV/atom): 0.000
Symmetry: C2/m

---

(2)
Density functional theory data (GGA-PBE) for an optimized crystal structure of ScUMoOs.

```
ScUMoOs
1.0
4.703 0.000 0.000
2.351 4.073 0.000
2.351 1.358 3.840
Sc Os Mo U
1 1 1 1
direct
0.000 0.000 0.000
0.250 0.250 0.250
0.750 0.750 0.750
0.500 0.500 0.500
```

Formation enthalpy at 0 K (eV/atom): -0.044
Density of states at the Fermi level (states/eV per atom): 1.84
Symmetry: F-43m

---

(3)
Density functional theory data (GGA-PBE) for an optimized crystal structure of Nd6Sm12Y.

```
Nd6Sm12Y
1.0
8.649 0.679 0.814
-0.640 8.652 0.814
-0.640 -0.745 8.658
Nd Sm Y
6 12 1
direct
0.737 0.906 0.304
0.696 0.263 0.094
0.094 0.696 0.263
0.263 0.094 0.696
0.304 0.737 0.906
0.906 0.304 0.737
0.778 0.537 0.436
0.436 0.778 0.537
0.537 0.436 0.778
0.222 0.463 0.564
0.564 0.222 0.463
0.463 0.564 0.222
0.017 0.196 0.359
0.804 0.641 0.983
0.641 0.983 0.804
0.983 0.804 0.641
0.196 0.359 0.017
0.359 0.017 0.196
0.000 0.000 0.000
```

Formation enthalpy at 0 K (eV/atom): 0.137
Density of states at the Fermi level (states/eV per atom): 1.63
Energy relative to the lowest polymorph listed for this composition (eV/atom): 0.000
Symmetry: R-3